The following is a PBE-GGA calculation of crystalline Y2Ta2In at its relaxed geometry, from the Alexandria database.

Output
- SG: I4/mmm
- Polymorph energy (0 for the lowest one): 0.6786 eV/atom
- Calculated formation energy: 0.89 eV per atom

a = 4.305 Å, b = 4.305 Å, c = 7.573 Å
α = 73.49°, β = 73.49°, γ = 90.00°
Element x y z (fractional)
1 Y 0.750 0.250 0.500
2 Y 0.250 0.750 0.500
3 In 0.000 0.000 0.000
4 Ta 0.414 0.414 0.171
5 Ta 0.586 0.586 0.829


The following is a PBE-GGA calculation of crystalline PmDySb at its relaxed geometry, from the Alexandria database.

Output
- SG: F-43m
- Polymorph energy (0 for the lowest one): 0.2494 eV/atom

a = 5.137 Å, b = 5.137 Å, c = 5.137 Å
α = 60.00°, β = 60.00°, γ = 60.00°
Element x y z (fractional)
1 Sb 0.250 0.250 0.250
2 Pm 0.500 0.500 0.500
3 Dy 0.000 0.000 0.000


The following is a PBE-GGA calculation of crystalline PuHfAu4 at its relaxed geometry, from the Alexandria database.

Output
- SG: P4/mmm
- Calculated formation energy: -0.46 eV per atom

a = 3.630 Å, b = 3.624 Å, c = 9.301 Å
α = 90.00°, β = 90.00°, γ = 90.00°
Element x y z (fractional)
1 Pu 0.000 0.500 0.500
2 Hf 0.500 0.000 0.000
3 Au 0.000 0.500 0.846
4 Au 0.000 0.500 0.154
5 Au 0.500 0.000 0.687
6 Au 0.500 0.000 0.313


The following is a PBE-GGA calculation of crystalline ErPuU2Sb4 at its relaxed geometry, from the Alexandria database.

Output
- SG: P2/m
- Raw total energy: -62.025 eV per formula unit

a = 4.326 Å, b = 7.480 Å, c = 7.758 Å
α = 108.81°, β = 90.00°, γ = 90.00°
Element x y z (fractional)
1 Er 0.500 0.500 0.000
2 Pu 0.000 0.000 0.000
3 U 0.500 0.000 0.500
4 U 0.000 0.500 0.500
5 Sb 0.500 0.253 0.250
6 Sb 0.500 0.747 0.750
7 Sb 0.000 0.253 0.751
8 Sb 0.000 0.747 0.249